[1]
DFT (PBE-GGA) results for a relaxed structure of Tb4Pm2NdTm.

The structure belongs to space group C2/c (No. 15); the cell edges are 13.678, 13.289 and 6.835 Å and the angles 90.00°, 119.96° and 90.00°. Symmetry generates all atoms from Tb at (0.000, 0.244, 0.000), Tb at (0.245, 0.000, 0.493), Pm at (0.000, 0.500, 0.000), Pm at (0.250, 0.250, 0.000), Nd at (0.250, 0.250, 0.500) and Tm at (0.000, 0.000, 0.000).

The calculated total energy comes out at -4.25 eV/atom. The calculation puts the formation energy from the elements at 412 meV/atom.


[2]
DFT (PBE-GGA) results for a relaxed structure of TbPm6Nd2Tm3.

The structure belongs to space group C2/m (No. 12); the cell edges are 6.259, 10.842 and 11.896 Å and the angles 90.00°, 100.08° and 90.00°. Symmetry generates all atoms from Tb at (0.000, 0.000, 0.000), Pm at (0.248, 0.000, 0.745), Pm at (0.249, 0.334, 0.746), Nd at (0.000, 0.333, 0.000), Tm at (0.000, 0.167, 0.500) and Tm at (0.000, 0.500, 0.500).

The calculated total energy comes out at -4.66 eV/atom. The calculation puts the formation energy from the elements at 17 meV/atom.


[3]
DFT (PBE-GGA) results for a relaxed structure of Tb3Pm6Nd2Tm.

The structure belongs to space group C2/m (No. 12); the cell edges are 6.274, 10.863 and 11.983 Å and the angles 90.00°, 100.05° and 90.00°. Symmetry generates all atoms from Tb at (0.000, 0.000, 0.000), Tb at (0.000, 0.334, 0.000), Pm at (0.248, 0.500, 0.248), Pm at (0.250, 0.166, 0.248), Nd at (0.000, 0.167, 0.500) and Tm at (0.000, 0.500, 0.500).

The calculated total energy comes out at -4.69 eV/atom. The calculation puts the formation energy from the elements at 14 meV/atom.


[4]
DFT (PBE-GGA) results for a relaxed structure of TbPmNd2Tm.

The structure belongs to space group P2/c (No. 13); the cell edges are 8.256, 6.721 and 6.198 Å and the angles 90.00°, 90.24° and 90.00°. Symmetry generates all atoms from Tb at (0.000, 0.077, 0.250), Pm at (0.000, 0.500, 0.000), Nd at (0.306, 0.193, 0.749) and Tm at (0.500, 0.343, 0.250).

The calculated total energy comes out at -4.41 eV/atom. The calculation puts the formation energy from the elements at 272 meV/atom.


[5]
DFT (PBE-GGA) results for a relaxed structure of TbPm2NdY6.

The structure belongs to space group C2/c (No. 15); the cell edges are 9.118, 15.044 and 9.888 Å and the angles 90.00°, 100.37° and 90.00°. Symmetry generates all atoms from Tb at (0.000, 0.018, 0.250), Pm at (0.238, 0.049, 0.544), Nd at (0.000, 0.404, 0.750), Y at (0.067, 0.188, 0.944), Y at (0.101, 0.397, 0.120) and Y at (0.198, 0.223, 0.316).

The calculated total energy comes out at -5.65 eV/atom. The calculation puts the formation energy from the elements at 117 meV/atom.


[6]
DFT (PBE-GGA) results for a relaxed structure of Tb6Pm2Nd3Y.

The structure belongs to space group C2/m (No. 12); the cell edges are 6.257, 10.834 and 11.931 Å and the angles 90.00°, 100.03° and 90.00°. Symmetry generates all atoms from Tb at (0.250, 0.000, 0.249), Tb at (0.250, 0.167, 0.751), Pm at (0.000, 0.167, 0.000), Nd at (0.000, 0.000, 0.500), Nd at (0.000, 0.333, 0.500) and Y at (0.000, 0.500, 0.000).

The calculated total energy comes out at -4.82 eV/atom. The calculation puts the formation energy from the elements at 13 meV/atom.


[7]
DFT (PBE-GGA) results for a relaxed structure of Tb2Pm2NdY4.

The structure belongs to space group C2/m (No. 12); the cell edges are 18.844, 3.630 and 9.644 Å and the angles 90.00°, 115.72° and 90.00°. Symmetry generates all atoms from Tb at (0.148, 0.000, 0.165), Pm at (0.167, 0.500, 0.500), Nd at (0.000, 0.000, 0.500), Y at (0.019, 0.500, 0.837) and Y at (0.186, 0.000, 0.836).

The calculated total energy comes out at -5.49 eV/atom. The calculation puts the formation energy from the elements at -6 meV/atom.


[8]
DFT (PBE-GGA) results for a relaxed structure of Tb6PmNd2Y.

The structure belongs to space group C2/c (No. 15); the cell edges are 9.064, 15.207 and 9.789 Å and the angles 90.00°, 99.00° and 90.00°. Symmetry generates all atoms from Tb at (0.065, 0.190, 0.443), Tb at (0.105, 0.396, 0.620), Tb at (0.198, 0.224, 0.814), Pm at (0.000, 0.406, 0.250), Nd at (0.243, 0.053, 0.041) and Y at (0.000, 0.018, 0.750).

The calculated total energy comes out at -4.74 eV/atom. The calculation puts the formation energy from the elements at 118 meV/atom.


[9]
DFT (PBE-GGA) results for a relaxed structure of Tb2PmNd3Y6.

The structure belongs to space group C2/m (No. 12); the cell edges are 6.252, 10.823 and 11.881 Å and the angles 90.00°, 100.06° and 90.00°. Symmetry generates all atoms from Tb at (0.000, 0.167, 0.000), Pm at (0.000, 0.500, 0.000), Nd at (0.000, 0.000, 0.500), Nd at (0.000, 0.333, 0.500), Y at (0.249, 0.000, 0.248) and Y at (0.250, 0.167, 0.752).

The calculated total energy comes out at -5.58 eV/atom. The calculation puts the formation energy from the elements at 13 meV/atom.


[10]
DFT (PBE-GGA) results for a relaxed structure of Tb2PmNdY6.

The structure belongs to space group C2/c (No. 15); the cell edges are 9.170, 15.061 and 9.729 Å and the angles 90.00°, 98.68° and 90.00°. Symmetry generates all atoms from Tb at (0.243, 0.050, 0.046), Pm at (0.000, 0.024, 0.750), Nd at (0.000, 0.407, 0.250), Y at (0.066, 0.185, 0.443), Y at (0.098, 0.394, 0.618) and Y at (0.204, 0.225, 0.818).

The calculated total energy comes out at -5.64 eV/atom. The calculation puts the formation energy from the elements at 119 meV/atom.


[11]
DFT (PBE-GGA) results for a relaxed structure of TbPm2Nd2Y.

The structure belongs to space group Pmma (No. 51); the cell edges are 7.115, 5.730 and 9.930 Å and the angles 90.00°, 90.00° and 90.00°. Symmetry generates all atoms from Tb at (0.250, 0.000, 0.160), Pm at (0.250, 0.000, 0.830), Pm at (0.250, 0.500, 0.338), Nd at (0.000, 0.000, 0.500), Nd at (0.250, 0.500, 0.676) and Y at (0.000, 0.500, 0.000).

The calculated total energy comes out at -4.97 eV/atom. The calculation puts the formation energy from the elements at 53 meV/atom.


[12]
DFT (PBE-GGA) results for a relaxed structure of TbPmNd2Y2.

The structure belongs to space group Pnnm (No. 58); the cell edges are 6.685, 18.120 and 3.415 Å and the angles 90.00°, 90.00° and 90.00°. Symmetry generates all atoms from Tb at (0.000, 0.000, 0.000), Pm at (0.000, 0.500, 0.000), Nd at (0.230, 0.184, 0.000) and Y at (0.228, 0.352, 0.500).

The calculated total energy comes out at -5.04 eV/atom. The calculation puts the formation energy from the elements at 271 meV/atom.